# CsAcPt2

An optimized crystal structure of CsAcPt2 (PBE, Alexandria via LeMat-Bulk).

Geometry as POSCAR:
```
CsAcPt2
1.0
3.8494 0.0000 0.0000
0.0000 3.8494 0.0000
0.0000 0.0000 8.4060
Cs Ac Pt
1 1 2
Direct
0.5000 0.5000 0.5000
0.5000 0.5000 0.0000
0.0000 0.0000 0.8136
0.0000 0.0000 0.1864
```

Magnetic moment ... 0.0 μB per formula unit
Fermi-level density of states ... 0.474 states/eV per atom
Symmetry ... P4/mmm (123)
DFT formation energy ... -583.3 meV per atom

# YSi2P

An optimized crystal structure of YSi2P (PBE, Alexandria via LeMat-Bulk).

Geometry as POSCAR:
```
YSi2P
1.0
-2.2730 -1.5093 -3.8108
-2.6115 -1.8404 2.2866
-2.2327 3.2323 0.0515
P Si Y
1 2 1
Direct
0.5000 0.0000 0.5000
0.0000 0.0000 0.0000
0.0000 0.5000 0.5000
0.5000 0.5000 0.0000
```

Formation energy without anion corrections ... -246.1 meV per atom
Magnetic moment ... 0.0 μB per formula unit
Fermi-level density of states ... 0.754 states/eV per atom
Symmetry ... P4/mmm (123)

# Tb3SmSc7

An optimized crystal structure of Tb3SmSc7 (PBE, Alexandria via LeMat-Bulk).

Geometry as POSCAR:
```
Tb3SmSc7
1.0
5.4494 -0.1993 -0.2553
-2.4196 7.5438 1.1188
-2.4196 -0.7434 7.5900
Tb Sm Sc
3 1 7
Direct
0.0000 0.7888 0.2112
0.5000 0.0000 0.0000
0.0000 0.2112 0.7888
0.5000 0.5000 0.5000
0.2075 0.2067 0.2067
0.2818 0.9722 0.5917
0.7182 0.4083 0.0278
0.2818 0.5917 0.9722
0.0000 0.5000 0.5000
0.7182 0.0278 0.4083
0.7925 0.7933 0.7933
```

Magnetic moment ... 0.0 μB per formula unit
Fermi-level density of states ... 1.540 states/eV per atom
Symmetry ... C2/m (12)
DFT formation energy ... 288.3 meV per atom

# Pm2NpReN6

An optimized crystal structure of Pm2NpReN6 (PBE, Alexandria via LeMat-Bulk).

Geometry as POSCAR:
```
Pm2NpReN6
1.0
4.3365 0.0000 0.0000
0.0000 5.7194 0.0000
0.0000 0.0000 5.7194
Pm Np Re N
2 1 1 6
Direct
0.0433 0.5000 0.0000
0.0433 0.0000 0.5000
0.6376 0.5000 0.5000
0.5871 0.0000 0.0000
0.7013 0.2391 0.2391
0.7013 0.2391 0.7609
0.1508 0.5000 0.5000
0.1794 0.0000 0.0000
0.7013 0.7609 0.7609
0.7013 0.7609 0.2391
```

Formation energy without anion corrections ... -855.6 meV per atom
Magnetic moment ... 1.1 μB per formula unit
Fermi-level density of states ... 0.433 states/eV per atom
Symmetry ... P4mm (99)

# Na3SrB

An optimized crystal structure of Na3SrB (PBE, Alexandria via LeMat-Bulk).

Geometry as POSCAR:
```
Na3SrB
1.0
-4.7210 -1.4706 -4.7393
-4.6135 -1.1083 4.9395
-1.8274 6.5970 -0.2266
Sr B Na
1 1 3
Direct
0.0000 0.0000 0.0000
0.5000 0.5000 0.5000
0.0000 0.5000 0.0000
0.0000 0.0000 0.5000
0.5000 0.0000 0.0000
```

Relative energy among the computed polymorphs ... 984 meV per atom
Magnetic moment ... 0.6 μB per formula unit
Fermi-level density of states ... 1.511 states/eV per atom
Symmetry ... Pm-3m (221)
DFT formation energy ... 1642.9 meV per atom

# TeC7

An optimized crystal structure of TeC7 (PBE, Alexandria via LeMat-Bulk).

Geometry as POSCAR:
```
TeC7
1.0
3.6921 -2.6691 1.4695
-0.0518 -1.9600 4.3670
-0.5150 -4.7336 0.4930
Te C
1 7
Direct
0.0000 0.0000 0.0000
0.0000 0.5000 0.0000
0.5000 0.5000 0.0000
0.0000 0.5000 0.5000
0.5000 0.0000 0.5000
0.0000 0.0000 0.5000
0.5000 0.0000 0.0000
0.5000 0.5000 0.5000
```

Formation energy without anion corrections ... 4227.1 meV per atom
Magnetic moment ... 0.0 μB per formula unit
Fermi-level density of states ... 0.515 states/eV per atom
Symmetry ... Fm-3m (225)

Q: Which of these has the highest magnetic moment?
A: Pm2NpReN6

Repeat the fifth record exactly.
# Na3SrB

An optimized crystal structure of Na3SrB (PBE, Alexandria via LeMat-Bulk).

Geometry as POSCAR:
```
Na3SrB
1.0
-4.7210 -1.4706 -4.7393
-4.6135 -1.1083 4.9395
-1.8274 6.5970 -0.2266
Sr B Na
1 1 3
Direct
0.0000 0.0000 0.0000
0.5000 0.5000 0.5000
0.0000 0.5000 0.0000
0.0000 0.0000 0.5000
0.5000 0.0000 0.0000
```

Relative energy among the computed polymorphs ... 984 meV per atom
Magnetic moment ... 0.6 μB per formula unit
Fermi-level density of states ... 1.511 states/eV per atom
Symmetry ... Pm-3m (221)
DFT formation energy ... 1642.9 meV per atom

Q: The highest magnetic moment belongs to which entry?
A: Pm2NpReN6